w:
Computed, not measured: Cr2Ru2W after structural relaxation at the PBE-GGA level of DFT.

a b c (Å): 7.1553 7.1553 2.7078
angles (deg): 90.00 90.00 90.00
Space group P4/mbm (No. 127)
Asymmetric unit:
1 Cr 0.1671 0.3329 0.0000 (multiplicity 4)
2 Ru 0.1317 0.6317 0.5000 (multiplicity 4)
3 W 0.0000 0.0000 0.5000 (multiplicity 2)

x:
Computed, not measured: Cr2Ru2W after structural relaxation at the PBE-GGA level of DFT.

a b c (Å): 7.0397 7.0397 2.7663
angles (deg): 90.00 90.00 90.00
Space group P4/mbm (No. 127)
Asymmetric unit:
1 Cr 0.1309 0.3691 0.0000 (multiplicity 4)
2 Ru 0.1678 0.6678 0.5000 (multiplicity 4)
3 W 0.0000 0.0000 0.0000 (multiplicity 2)

Bottom line: x, by a margin of 0.035 eV/atom.

w:
Computed, not measured: YCr2Ru after structural relaxation at the PBE-GGA level of DFT.

a b c (Å): 3.0241 3.9508 5.9526
angles (deg): 90.00 104.39 90.00
Space group Pm (No. 6)
Asymmetric unit:
1 Y 0.0000 0.0000 0.0000 (multiplicity 1)
2 Cr 0.0186 0.0000 0.4960 (multiplicity 1)
3 Cr 0.6070 0.5000 0.3367 (multiplicity 1)
4 Ru 0.4044 0.5000 0.7171 (multiplicity 1)

x:
Computed, not measured: YCr2Ru after structural relaxation at the PBE-GGA level of DFT.

a b c (Å): 5.2978 8.7964 2.8371
angles (deg): 90.00 109.54 90.00
Space group C2/m (No. 12)
Asymmetric unit:
1 Y 0.0000 0.0000 0.0000 (multiplicity 2)
2 Cr 0.2500 0.2500 0.5000 (multiplicity 4)
3 Ru 0.0000 0.5000 0.0000 (multiplicity 2)

Bottom line: w, by a margin of 0.253 eV/atom.

w:
Computed, not measured: YCr2Ru after structural relaxation at the PBE-GGA level of DFT.

a b c (Å): 2.9941 3.9075 5.9079
angles (deg): 90.00 90.00 90.00
Space group Pmmm (No. 47)
Asymmetric unit:
1 Y 0.0000 0.0000 0.0000 (multiplicity 1)
2 Cr 0.5000 0.5000 0.3359 (multiplicity 2)
3 Ru 0.0000 0.0000 0.5000 (multiplicity 1)

x:
Computed, not measured: YCr2Ru after structural relaxation at the PBE-GGA level of DFT.

a b c (Å): 5.7957 7.5755 3.0990
angles (deg): 90.00 90.00 90.00
Space group Cmmm (No. 65)
Asymmetric unit:
1 Y 0.0000 0.0000 0.0000 (multiplicity 2)
2 Cr 0.2500 0.2500 0.5000 (multiplicity 4)
3 Ru 0.0000 0.5000 0.0000 (multiplicity 2)

Bottom line: w, by a margin of 0.143 eV/atom.

w:
Computed, not measured: YCr2Ru after structural relaxation at the PBE-GGA level of DFT.

a b c (Å): 3.3161 4.3500 4.7554
angles (deg): 90.00 90.00 90.00
Space group Pmmm (No. 47)
Asymmetric unit:
1 Y 0.0000 0.0000 0.0000 (multiplicity 1)
2 Cr 0.0000 0.5000 0.5000 (multiplicity 1)
3 Cr 0.5000 0.0000 0.5000 (multiplicity 1)
4 Ru 0.5000 0.5000 0.0000 (multiplicity 1)

x:
Computed, not measured: YCr2Ru after structural relaxation at the PBE-GGA level of DFT.

a b c (Å): 3.1167 4.4764 9.1021
angles (deg): 90.00 90.00 90.00
Space group Immm (No. 71)
Asymmetric unit:
1 Y 0.0000 0.0000 0.0000 (multiplicity 2)
2 Cr 0.0000 0.5000 0.2349 (multiplicity 4)
3 Ru 0.0000 0.0000 0.5000 (multiplicity 2)

Bottom line: w, by a margin of 0.151 eV/atom.

w:
Computed, not measured: Y2Cr2Ru after structural relaxation at the PBE-GGA level of DFT.

a b c (Å): 5.5800 5.5800 6.7323
angles (deg): 90.00 90.00 90.00
Space group I4/mmm (No. 139)
Asymmetric unit:
1 Y 0.0000 0.5000 0.2500 (multiplicity 4)
2 Cr 0.0000 0.0000 0.1378 (multiplicity 4)
3 Ru 0.0000 0.0000 0.5000 (multiplicity 2)

x:
Computed, not measured: Y2Cr2Ru after structural relaxation at the PBE-GGA level of DFT.

a b c (Å): 6.3101 6.3101 4.7733
angles (deg): 90.00 90.00 90.00
Space group P4/mbm (No. 127)
Asymmetric unit:
1 Y 0.1803 0.3197 0.0000 (multiplicity 4)
2 Cr 0.1214 0.6214 0.5000 (multiplicity 4)
3 Ru 0.0000 0.0000 0.5000 (multiplicity 2)

Bottom line: x, by a margin of 0.529 eV/atom.

w:
Computed, not measured: Zn2CrRu after structural relaxation at the PBE-GGA level of DFT.

a b c (Å): 5.1253 8.7564 2.7356
angles (deg): 90.00 113.03 90.00
Space group C2/m (No. 12)
Asymmetric unit:
1 Zn 0.2500 0.2500 0.0000 (multiplicity 4)
2 Cr 0.0000 0.0000 0.5000 (multiplicity 2)
3 Ru 0.0000 0.5000 0.5000 (multiplicity 2)

x:
Computed, not measured: Zn2CrRu after structural relaxation at the PBE-GGA level of DFT.

a b c (Å): 3.0645 4.1472 4.2945
angles (deg): 90.00 90.00 90.00
Space group Pmmm (No. 47)
Asymmetric unit:
1 Zn 0.0000 0.0000 0.0000 (multiplicity 1)
2 Zn 0.5000 0.5000 0.0000 (multiplicity 1)
3 Cr 0.0000 0.5000 0.5000 (multiplicity 1)
4 Ru 0.5000 0.0000 0.5000 (multiplicity 1)

y:
Computed, not measured: Zn2CrRu after structural relaxation at the PBE-GGA level of DFT.

a b c (Å): 2.8382 4.4373 8.7671
angles (deg): 90.00 90.00 90.00
Space group Cmm2 (No. 35)
Asymmetric unit:
1 Zn 0.0000 0.0000 0.0000 (multiplicity 2)
2 Zn 0.0000 0.5000 0.2629 (multiplicity 2)
3 Cr 0.0000 0.5000 0.7519 (multiplicity 2)
4 Ru 0.0000 0.0000 0.5224 (multiplicity 2)

z:
Computed, not measured: Zn2CrRu after structural relaxation at the PBE-GGA level of DFT.

a b c (Å): 2.8935 2.8935 6.5341
angles (deg): 90.00 90.00 90.00
Space group P4mm (No. 99)
Asymmetric unit:
1 Zn 0.0000 0.0000 0.0000 (multiplicity 1)
2 Zn 0.5000 0.5000 0.2653 (multiplicity 1)
3 Cr 0.0000 0.0000 0.5215 (multiplicity 1)
4 Ru 0.5000 0.5000 0.7284 (multiplicity 1)

Bottom line: z, by a margin of 0.143 eV/atom.

w:
Computed, not measured: Zn2CrRu after structural relaxation at the PBE-GGA level of DFT.

a b c (Å): 2.6876 2.6876 26.1195
angles (deg): 90.00 90.00 120.00
Space group R-3m (No. 166, hexagonal axes)
Asymmetric unit:
1 Zn 0.0000 0.0000 0.2503 (multiplicity 6)
2 Cr 0.0000 0.0000 0.0000 (multiplicity 3)
3 Ru 0.0000 0.0000 0.5000 (multiplicity 3)

x:
Computed, not measured: Zn2CrRu after structural relaxation at the PBE-GGA level of DFT.

a b c (Å): 2.6794 2.6794 26.7614
angles (deg): 90.00 90.00 120.00
Space group R3m (No. 160, hexagonal axes)
Asymmetric unit:
1 Zn 0.0000 0.0000 0.0000 (multiplicity 3)
2 Zn 0.0000 0.0000 0.2408 (multiplicity 3)
3 Cr 0.0000 0.0000 0.4926 (multiplicity 3)
4 Ru 0.0000 0.0000 0.7526 (multiplicity 3)

y:
Computed, not measured: Zn2CrRu after structural relaxation at the PBE-GGA level of DFT.

a b c (Å): 2.9835 4.2505 8.5876
angles (deg): 90.00 90.00 90.00
Space group Cmmm (No. 65)
Asymmetric unit:
1 Zn 0.0000 0.0000 0.2460 (multiplicity 4)
2 Cr 0.0000 0.5000 0.0000 (multiplicity 2)
3 Ru 0.0000 0.5000 0.5000 (multiplicity 2)

z:
Computed, not measured: Zn2CrRu after structural relaxation at the PBE-GGA level of DFT.

a b c (Å): 3.0997 4.2705 8.3057
angles (deg): 90.00 90.00 90.00
Space group Imm2 (No. 44)
Asymmetric unit:
1 Zn 0.0000 0.0000 0.0000 (multiplicity 2)
2 Zn 0.0000 0.5000 0.2545 (multiplicity 2)
3 Cr 0.0000 0.5000 0.7579 (multiplicity 2)
4 Ru 0.0000 0.0000 0.4959 (multiplicity 2)

Bottom line: x, by a margin of 0.044 eV/atom.

w:
Computed, not measured: Zn2CrRu after structural relaxation at the PBE-GGA level of DFT.

a b c (Å): 3.7313 3.7313 7.9889
angles (deg): 90.00 90.00 90.00
Space group I4/mmm (No. 139)
Asymmetric unit:
1 Zn 0.0000 0.5000 0.2500 (multiplicity 4)
2 Cr 0.0000 0.0000 0.0000 (multiplicity 2)
3 Ru 0.0000 0.0000 0.5000 (multiplicity 2)

x:
Computed, not measured: Zn2CrRu after structural relaxation at the PBE-GGA level of DFT.

a b c (Å): 2.6147 4.2871 4.9792
angles (deg): 90.00 102.21 90.00
Space group P2/m (No. 10)
Asymmetric unit:
1 Zn 0.2405 0.0000 0.2489 (multiplicity 2)
2 Cr 0.5000 0.5000 0.0000 (multiplicity 1)
3 Ru 0.0000 0.5000 0.5000 (multiplicity 1)

y:
Computed, not measured: Zn2CrRu after structural relaxation at the PBE-GGA level of DFT.

a b c (Å): 6.8493 6.8493 4.9621
angles (deg): 90.00 90.00 90.00
Space group I-42d (No. 122)
Asymmetric unit:
1 Zn 0.2454 0.7500 0.1250 (multiplicity 8)
2 Cr 0.0000 0.0000 0.0000 (multiplicity 4)
3 Ru 0.0000 0.0000 0.5000 (multiplicity 4)

Bottom line: w, by a margin of 0.110 eV/atom.